{"formula": "DyEr2Sc3Sb2Os", "functional": "PBE", "state": "optimized geometry", "lattice_angstrom": [[-1.926, 1.530, -3.373], [-4.197, -6.550, -0.573], [-2.664, 5.985, 4.235]], "species": ["Er", "Er", "Sc", "Sc", "Sc", "Os", "Sb", "Sb", "Dy"], "frac_coords": [[0.000, 0.001, 0.608], [0.000, 0.608, 0.001], [0.500, 0.228, 0.000], [0.500, 0.000, 0.228], [0.500, 0.771, 0.771], [0.000, 0.997, 0.997], [0.500, 0.333, 0.668], [0.500, 0.668, 0.333], [0.000, 0.394, 0.394]], "sg": "Amm2", "magmom_total_mub_per_cell": 0.016, "final_energy_ev_per_atom": -6.5415}